The following is a DFT calculation (PBE) of a relaxed Mg2MnGaP crystal.

Results
**Energy of formation from the pure elements**: 0.084 eV per atom
**V**: 22.609 Å³ per atom

Lattice parameters (Å, degrees): 4.962 4.591 4.962 90.00 90.00 90.00
Site moments in Bohr magnetons follow the coordinates.
Sites, in units of the cell vectors:
Mg 0.000 0.000 0.500  -0.01
P 0.000 0.000 0.000  -0.05
Ga 0.500 0.500 0.500  -0.10
Mn 0.000 0.500 0.000  3.53
Mg 0.500 0.000 0.000  -0.01

***

The following is a DFT calculation (PBE) of a relaxed MgMnGaPd crystal.

Results
**Energy of formation from the pure elements**: -0.282 eV per atom
**V**: 15.700 Å³ per atom

Lattice parameters (Å, degrees): 4.462 4.462 4.462 60.00 60.00 60.00
Site moments in Bohr magnetons follow the coordinates.
Sites, in units of the cell vectors:
Pd 0.750 0.750 0.750  0.15
Ga 0.250 0.250 0.250  -0.07
Mg 0.500 0.500 0.500  -0.02
Mn 0.000 0.000 0.000  3.57

***

The following is a DFT calculation (PBE) of a relaxed MgMnGa2Pt4 crystal.

Results
**Energy of formation from the pure elements**: -0.609 eV per atom
**V**: 15.257 Å³ per atom

Lattice parameters (Å, degrees): 4.413 4.413 7.674 73.29 73.29 60.00
Site moments in Bohr magnetons follow the coordinates.
Sites, in units of the cell vectors:
Pt 0.128 0.128 0.617  0.12
Pt 0.378 0.378 0.865  0.02
Ga 0.251 0.251 0.246  -0.01
Pt 0.872 0.872 0.383  0.12
Ga 0.749 0.749 0.754  -0.01
Pt 0.622 0.622 0.135  0.02
Mg 0.000 0.000 0.000  0.00
Mn 0.500 0.500 0.500  3.71

***

The following is a DFT calculation (PBE) of a relaxed Pu2MgMnGa6 crystal.

Results
**Energy of formation from the pure elements**: -0.148 eV per atom
**V**: 20.044 Å³ per atom

Lattice parameters (Å, degrees): 6.307 6.307 12.192 75.01 75.01 60.00
Site moments in Bohr magnetons follow the coordinates.
Sites, in units of the cell vectors:
Ga 0.779 0.349 0.094  -0.04
Pu 0.719 0.719 0.842  5.31
Ga 0.928 0.332 0.408  -0.04
Ga 0.332 0.332 0.408  -0.04
Ga 0.332 0.928 0.408  -0.04
Mg 0.575 0.575 0.276  -0.01
Ga 0.221 0.651 0.906  -0.04
Ga 0.668 0.072 0.592  -0.04
Ga 0.072 0.668 0.592  -0.04
Ga 0.651 0.221 0.906  -0.04
Mn 0.000 0.000 0.000  1.80
Pu 0.891 0.891 0.328  5.35
Pu 0.281 0.281 0.158  5.31
Ga 0.668 0.668 0.592  -0.04
Ga 0.221 0.221 0.906  -0.04
Ga 0.349 0.779 0.094  -0.04
Pu 0.109 0.109 0.672  5.35
Ga 0.779 0.779 0.094  -0.04
Mn 0.500 0.500 0.500  1.68
Mg 0.425 0.425 0.724  -0.01

***

Here are the calculated total energy numbers, same order: -4.08; -5.03; -5.73; -5.91 (eV/atom).